{"formula": "Pa2MnAl3", "functional": "GGA-PBE", "state": "relaxed", "e_form_ev_per_atom": -0.2548, "sg": "C2/m, No. 12", "lattice_angstrom": [[4.709, -0.146, -2.469], [-2.998, 4.388, -0.224], [-0.110, 0.211, 5.491]], "species": ["Pa", "Mn", "Al", "Al", "Pa", "Al"], "frac_coords": [[0.272, 0.637, 0.910], [0.000, 0.000, 0.000], [0.500, 0.000, 0.500], [0.000, 0.000, 0.500], [0.728, 0.363, 0.090], [0.500, 0.500, 0.500]]}

---

{"formula": "Pa2Mn3Al", "functional": "GGA-PBE", "state": "relaxed", "e_form_ev_per_atom": -0.0338, "sg": "Cmce, No. 64", "lattice_angstrom": [[-3.787, -0.329, -3.114], [1.857, -6.375, 2.292], [-8.097, 1.138, 9.728]], "species": ["Pa", "Mn", "Pa", "Mn", "Pa", "Al", "Pa", "Mn", "Pa", "Al", "Al", "Mn", "Mn", "Mn", "Mn", "Mn", "Al", "Mn", "Mn", "Pa", "Pa", "Mn", "Mn", "Pa"], "frac_coords": [[0.591, 0.182, 0.652], [0.671, 0.842, 0.750], [0.177, 0.354, 0.453], [0.569, 0.139, 0.427], [0.323, 0.646, 0.953], [0.263, 0.526, 0.688], [0.823, 0.646, 0.547], [0.931, 0.861, 0.927], [0.909, 0.818, 0.152], [0.237, 0.474, 0.188], [0.763, 0.526, 0.812], [0.829, 0.158, 0.250], [0.493, 0.987, 0.906], [0.329, 0.158, 0.250], [0.069, 0.139, 0.073], [0.431, 0.861, 0.573], [0.737, 0.474, 0.312], [0.507, 0.013, 0.094], [0.007, 0.013, 0.406], [0.677, 0.354, 0.047], [0.409, 0.818, 0.348], [0.993, 0.987, 0.594], [0.171, 0.842, 0.750], [0.091, 0.182, 0.848]]}

---

{"formula": "Pa2MnAl", "functional": "GGA-PBE", "state": "relaxed", "relative_energy_mev_per_atom": 80, "e_form_ev_per_atom": 0.0448, "sg": "P4/mmm, No. 123", "lattice_angstrom": [[3.454, 0.000, 0.000], [0.000, 3.454, 0.000], [0.000, 0.000, 6.795]], "species": ["Al", "Pa", "Pa", "Mn"], "frac_coords": [[0.500, 0.500, 0.500], [0.000, 0.000, 0.213], [0.000, 0.000, 0.787], [0.500, 0.500, 0.000]]}

---

{"formula": "PaMnAl", "functional": "GGA-PBE", "state": "relaxed", "e_form_ev_per_atom": -0.1458, "sg": "I4mm, No. 107", "lattice_angstrom": [[-2.963, -0.581, -0.307], [0.098, -1.793, 2.446], [0.223, 5.610, 2.221]], "species": ["Pa", "Mn", "Al"], "frac_coords": [[0.311, 0.311, 0.622], [0.656, 0.656, 0.312], [0.033, 0.033, 0.066]]}

---

{"formula": "Pa2Mn2Al", "functional": "GGA-PBE", "state": "relaxed", "e_form_ev_per_atom": -0.1712, "sg": "Immm, No. 71", "lattice_angstrom": [[4.335, 0.000, 0.000], [2.168, 4.663, 0.060], [2.168, 1.307, 4.476]], "species": ["Mn", "Al", "Pa", "Pa", "Mn"], "frac_coords": [[0.500, 0.241, 0.759], [0.000, 0.000, 0.000], [0.799, 0.701, 0.701], [0.201, 0.299, 0.299], [0.500, 0.759, 0.241]]}

---

{"formula": "PaMnAl11", "functional": "GGA-PBE", "state": "relaxed", "e_form_ev_per_atom": -0.1470, "sg": "C2/m, No. 12", "lattice_angstrom": [[4.809, 0.007, 2.003], [2.366, 6.524, 0.986], [-0.020, 0.004, 6.822]], "species": ["Al", "Al", "Al", "Al", "Al", "Al", "Pa", "Al", "Mn", "Al", "Al", "Al", "Al"], "frac_coords": [[0.000, 0.000, 0.500], [0.368, 0.640, 0.658], [0.501, 0.223, 0.790], [0.974, 0.360, 0.658], [0.500, 0.000, 0.500], [0.000, 0.500, 0.000], [0.000, 0.000, 0.000], [0.026, 0.640, 0.342], [0.500, 0.500, 0.000], [0.709, 0.777, 0.790], [0.291, 0.223, 0.210], [0.632, 0.360, 0.342], [0.499, 0.777, 0.210]]}

---

{"formula": "PaMnAl2", "functional": "GGA-PBE", "state": "relaxed", "e_form_ev_per_atom": -0.0163, "sg": "R-3m, No. 166", "lattice_angstrom": [[2.970, 0.000, 0.000], [1.485, 2.572, 0.000], [1.485, 0.857, 9.459]], "species": ["Al", "Mn", "Pa", "Al"], "frac_coords": [[0.262, 0.262, 0.214], [0.000, 0.000, 0.000], [0.500, 0.500, 0.500], [0.738, 0.738, 0.786]]}

---

{"formula": "PaMnAl", "functional": "GGA-PBE", "state": "relaxed", "e_form_ev_per_atom": -0.1175, "sg": "I4/mmm, No. 139", "lattice_angstrom": [[4.256, 0.000, 0.000], [0.000, 4.256, 0.000], [-2.128, -2.128, 6.352]], "species": ["Pa", "Al", "Pa", "Mn", "Mn", "Al"], "frac_coords": [[0.138, 0.138, 0.276], [0.392, 0.392, 0.784], [0.862, 0.862, 0.724], [0.500, 0.000, 0.000], [0.000, 0.500, 0.000], [0.608, 0.608, 0.216]]}

---

{"formula": "Pa4Mn3Al16", "functional": "GGA-PBE", "state": "relaxed", "e_form_ev_per_atom": -0.2567, "sg": "P4/mmm, No. 123", "lattice_angstrom": [[-2.647, -0.400, 5.499], [3.614, -4.733, 1.395], [7.620, 7.051, 4.180]], "species": ["Al", "Al", "Pa", "Al", "Al", "Al", "Al", "Al", "Pa", "Al", "Al", "Al", "Al", "Al", "Al", "Al", "Mn", "Pa", "Pa", "Al", "Mn", "Mn", "Al"], "frac_coords": [[0.000, 0.000, 0.782], [0.251, 0.251, 0.616], [0.000, 0.500, 0.806], [0.749, 0.251, 0.616], [0.500, 0.500, 0.804], [0.721, 0.279, 0.000], [0.721, 0.721, 0.000], [0.251, 0.251, 0.384], [0.500, 0.000, 0.194], [0.000, 0.000, 0.218], [0.279, 0.721, 0.000], [0.500, 0.500, 0.196], [0.279, 0.279, 0.000], [0.749, 0.251, 0.384], [0.749, 0.749, 0.616], [0.749, 0.749, 0.384], [0.500, 0.000, 0.500], [0.500, 0.000, 0.806], [0.000, 0.500, 0.194], [0.251, 0.749, 0.616], [0.000, 0.500, 0.500], [0.000, 0.000, 0.000], [0.251, 0.749, 0.384]]}

---

{"formula": "PuPaMnAl", "functional": "GGA-PBE", "state": "relaxed", "e_form_ev_per_atom": -0.0877, "sg": "F-43m, No. 216", "lattice_angstrom": [[-3.004, -3.614, 0.658], [0.529, -2.875, 3.738], [-3.133, 0.138, 3.562]], "species": ["Pa", "Mn", "Pu", "Al"], "frac_coords": [[0.500, 0.500, 0.500], [0.750, 0.750, 0.750], [0.250, 0.250, 0.250], [0.000, 0.000, 0.000]]}

---

{"formula": "PaMnAlRu", "functional": "GGA-PBE", "state": "relaxed", "e_form_ev_per_atom": -0.3321, "sg": "F-43m, No. 216", "lattice_angstrom": [[4.532, 0.000, 0.000], [2.266, 3.925, 0.000], [2.266, 1.308, 3.700]], "species": ["Al", "Pa", "Mn", "Ru"], "frac_coords": [[0.500, 0.500, 0.500], [0.000, 0.000, 0.000], [0.250, 0.250, 0.250], [0.750, 0.750, 0.750]]}

---

{"formula": "ScPaMnAl", "functional": "GGA-PBE", "state": "relaxed", "e_form_ev_per_atom": -0.0907, "sg": "F-43m, No. 216", "lattice_angstrom": [[4.620, 0.000, 0.000], [2.310, 4.001, 0.000], [2.310, 1.334, 3.772]], "species": ["Al", "Pa", "Mn", "Sc"], "frac_coords": [[0.250, 0.250, 0.250], [0.750, 0.750, 0.750], [0.000, 0.000, 0.000], [0.500, 0.500, 0.500]]}

---

no.,density of states at the Fermi level (states/eV/cell)
1,7.905
2,34.768
3,5.546
4,3.708
5,7.278
6,7.546
7,3.522
8,5.922
9,20.507
10,4.137
11,2.990
12,0.532